--- one ---
Here is a geometry-optimized BeNiAgAs structure from the Open Quantum Materials Database. Energies are from PBE.

```
BeNiAgAs
1.0
0.0000 3.0144 3.0144
3.0144 0.0000 3.0144
3.0144 3.0144 0.0000
Be Ni Ag As
1 1 1 1
Direct
0.0000 0.0000 0.0000
0.2500 0.2500 0.2500
0.7500 0.7500 0.7500
0.5000 0.5000 0.5000
```

Output
* theoretical density: 7.6 Mg/m³
* M_tot: 0.00 μB per cell

--- two ---
Here is a geometry-optimized BeNiAgAs structure from the Open Quantum Materials Database. Energies are from PBE.

```
BeNiAgAs
1.0
0.0000 3.0556 3.0556
3.0556 0.0000 3.0556
3.0556 3.0556 0.0000
Be Ni Ag As
1 1 1 1
Direct
0.0000 0.0000 0.0000
0.2500 0.2500 0.2500
0.5000 0.5000 0.5000
0.7500 0.7500 0.7500
```

Output
* theoretical density: 7.3 Mg/m³
* M_tot: 0.01 μB per cell

Of all the structures shown, which is most stable? one, and two is the least stable.